[1]
Below is a PBEsol-optimized structure of InAg2Hg, with properties calculated at the SCAN level.

Unit cell a=3.4380 b=3.7854 c=5.9465 alpha=90.00 beta=90.00 gamma=90.00
Fractional positions:
In 0.0000 0.0000 0.0000
Ag 0.0000 0.0000 0.4787
Ag 0.5000 0.5000 0.2417
Hg 0.5000 0.5000 0.7188

Output
ΔE_f ... 0.030 eV per atom
Offset from the most stable computed form ... 0.0000 eV per atom
DOS(E_F) ... 0.277 states/eV/atom
Final energy ... -164.17 eV/f.u.

---

[2]
Below is a PBEsol-optimized structure of InAgHg, with properties calculated at the SCAN level.

Unit cell a=4.3732 b=4.3702 c=6.7290 alpha=90.00 beta=90.34 gamma=90.00
Fractional positions:
In 0.0000 0.0000 0.0000
In 0.5000 0.5000 0.0000
Ag 0.0049 0.5000 0.2882
Ag 0.5049 0.0000 0.2882
Hg 0.0101 0.0000 0.5842
Hg 0.5101 0.5000 0.5842

Output
ΔE_f ... 0.020 eV per atom
Offset from the most stable computed form ... 0.0000 eV per atom
DOS(E_F) ... 0.365 states/eV/atom
Final energy ... -132.86 eV/f.u.

---

[3]
Below is a PBEsol-optimized structure of InAgHg2, with properties calculated at the SCAN level.

Unit cell a=3.1142 b=4.1816 c=6.4993 alpha=90.00 beta=90.00 gamma=90.00
Fractional positions:
In 0.0000 0.0000 0.0000
Ag 0.0000 0.0000 0.5000
Hg 0.5000 0.5000 0.2692
Hg 0.5000 0.5000 0.7308

Output
ΔE_f ... 0.067 eV per atom
DOS(E_F) ... 0.269 states/eV/atom
Final energy ... -200.82 eV/f.u.

---

[4]
Below is a PBEsol-optimized structure of InAgHg2, with properties calculated at the SCAN level.

Unit cell a=9.4277 b=3.2586 c=5.6677 alpha=90.00 beta=101.18 gamma=90.00
Fractional positions:
In 0.0000 0.0000 0.0000
In 0.5000 0.5000 0.0000
Ag 0.0000 0.5000 0.5000
Ag 0.5000 0.0000 0.5000
Hg 0.2439 0.0000 0.7322
Hg 0.2561 0.5000 0.2678
Hg 0.7439 0.5000 0.7322
Hg 0.7561 0.0000 0.2678

Output
ΔE_f ... 0.055 eV per atom
DOS(E_F) ... 0.280 states/eV/atom
Final energy ... -200.86 eV/f.u.

---

[5]
Below is a PBEsol-optimized structure of AgHg3Ir, with properties calculated at the SCAN level.

Unit cell a=5.0436 b=5.0436 c=5.0436 alpha=90.00 beta=90.00 gamma=90.00
Fractional positions:
Ag 0.0000 0.0000 0.0000
Hg 0.0000 0.0000 0.5000
Hg 0.0000 0.5000 0.0000
Hg 0.5000 0.0000 0.0000
Ir 0.5000 0.5000 0.5000

Output
ΔE_f ... 1.311 eV per atom
DOS(E_F) ... 0.647 states/eV/atom
Final energy ... -300.41 eV/f.u.

---

[6]
Below is a PBEsol-optimized structure of KAgHg2, with properties calculated at the SCAN level.

Unit cell a=8.3522 b=4.8047 c=6.2697 alpha=90.00 beta=116.07 gamma=90.00
Fractional positions:
K 0.0000 0.0000 0.0000
K 0.5000 0.5000 0.0000
Ag 0.0000 0.5000 0.5000
Ag 0.5000 0.0000 0.5000
Hg 0.2061 0.0000 0.6188
Hg 0.2939 0.5000 0.3812
Hg 0.7061 0.5000 0.6188
Hg 0.7939 0.0000 0.3812

Output
ΔE_f ... -0.178 eV per atom
Offset from the most stable computed form ... 0.0000 eV per atom
DOS(E_F) ... 0.331 states/eV/atom
Final energy ... -176.74 eV/f.u.

---

[7]
Below is a PBEsol-optimized structure of KAg2Hg2, with properties calculated at the SCAN level.

Unit cell a=4.3005 b=4.3005 c=13.1266 alpha=90.00 beta=90.00 gamma=90.00
Fractional positions:
K 0.0000 0.0000 0.0000
K 0.5000 0.5000 0.5000
Ag 0.0000 0.5000 0.2500
Ag 0.0000 0.5000 0.7500
Ag 0.5000 0.0000 0.2500
Ag 0.5000 0.0000 0.7500
Hg 0.0000 0.0000 0.3899
Hg 0.0000 0.0000 0.6101
Hg 0.5000 0.5000 0.1101
Hg 0.5000 0.5000 0.8899

Output
ΔE_f ... -0.087 eV per atom
DOS(E_F) ... 0.333 states/eV/atom
Final energy ... -207.83 eV/f.u.

---

[8]
Below is a PBEsol-optimized structure of KAg4Hg, with properties calculated at the SCAN level.

Unit cell a=5.5834 b=5.5834 c=5.5834 alpha=60.00 beta=60.00 gamma=60.00
Fractional positions:
K 0.0000 0.0000 0.0000
Ag 0.1262 0.6246 0.6246
Ag 0.6246 0.1262 0.6246
Ag 0.6246 0.6246 0.1262
Ag 0.6246 0.6246 0.6246
Hg 0.2500 0.2500 0.2500

Output
ΔE_f ... -0.003 eV per atom
DOS(E_F) ... 0.290 states/eV/atom
Final energy ... -201.98 eV/f.u.

---

[9]
Below is a PBEsol-optimized structure of KAgHg, with properties calculated at the SCAN level.

Unit cell a=7.1830 b=7.1830 c=7.1830 alpha=90.00 beta=90.00 gamma=90.00
Fractional positions:
K 0.0000 0.0000 0.0000
K 0.0000 0.5000 0.5000
K 0.5000 0.0000 0.5000
K 0.5000 0.5000 0.0000
Ag 0.0000 0.0000 0.5000
Ag 0.0000 0.5000 0.0000
Ag 0.5000 0.0000 0.0000
Ag 0.5000 0.5000 0.5000
Hg 0.2500 0.2500 0.7500
Hg 0.2500 0.7500 0.2500
Hg 0.7500 0.2500 0.2500
Hg 0.7500 0.7500 0.7500

Output
ΔE_f ... 0.022 eV per atom
Offset from the most stable computed form ... 0.1557 eV per atom
DOS(E_F) ... 0.373 states/eV/atom
Final energy ... -107.80 eV/f.u.

---

[10]
Below is a PBEsol-optimized structure of KAg2Hg, with properties calculated at the SCAN level.

Unit cell a=2.9503 b=4.8377 c=6.7631 alpha=90.00 beta=100.72 gamma=90.00
Fractional positions:
K 0.0000 0.0000 0.0000
Ag 0.3021 0.5000 0.6865
Ag 0.6979 0.5000 0.3135
Hg 0.5000 0.0000 0.5000

Output
ΔE_f ... 0.104 eV per atom
Offset from the most stable computed form ... 0.1719 eV per atom
DOS(E_F) ... 0.326 states/eV/atom
Final energy ... -138.81 eV/f.u.

---

[11]
Below is a PBEsol-optimized structure of KAg2Hg, with properties calculated at the SCAN level.

Unit cell a=4.9619 b=4.9619 c=7.2605 alpha=90.00 beta=90.00 gamma=90.00
Fractional positions:
K 0.0000 0.0000 0.0000
K 0.5000 0.5000 0.5000
Ag 0.0000 0.5000 0.2500
Ag 0.0000 0.5000 0.7500
Ag 0.5000 0.0000 0.2500
Ag 0.5000 0.0000 0.7500
Hg 0.0000 0.0000 0.5000
Hg 0.5000 0.5000 0.0000

Output
ΔE_f ... 0.144 eV per atom
Offset from the most stable computed form ... 0.2115 eV per atom
DOS(E_F) ... 0.294 states/eV/atom
Final energy ... -138.65 eV/f.u.

---

[12]
Below is a PBEsol-optimized structure of KAg2Hg, with properties calculated at the SCAN level.

Unit cell a=4.7467 b=4.7467 c=17.2138 alpha=90.00 beta=90.00 gamma=120.00
Fractional positions:
K 0.0000 0.0000 0.0000
K 0.3333 0.6667 0.6667
K 0.6667 0.3333 0.3333
Ag 0.0000 0.0000 0.1905
Ag 0.0000 0.0000 0.5084
Ag 0.3333 0.6667 0.1750
Ag 0.3333 0.6667 0.8572
Ag 0.6667 0.3333 0.5239
Ag 0.6667 0.3333 0.8417
Hg 0.0000 0.0000 0.8063
Hg 0.3333 0.6667 0.4730
Hg 0.6667 0.3333 0.1397

Output
ΔE_f ... -0.068 eV per atom
Offset from the most stable computed form ... 0.0000 eV per atom
DOS(E_F) ... 0.238 states/eV/atom
Final energy ... -139.50 eV/f.u.